SiHg3Mo: optimized geometry, PBE.

abc: 5.0833 5.0833 5.0833
angles: 90.00 90.00 90.00
Fractional positions:
Si (0.0000, 0.0000, 0.0000)
Hg (0.0000, 0.0000, 0.5000)
Hg (0.0000, 0.5000, 0.0000)
Hg (0.5000, 0.0000, 0.0000)
Mo (0.5000, 0.5000, 0.5000)

Results
The value obtained for the calculated total energy is -2.31 eV per atom. Its formation energy (no corrections) is 1.12 eV per atom. As for the distance to the lowest polymorph of the same formula: 0.0 meV per atom.